First-principles (PBE-GGA) data for a geometry-optimized Pa2CuSnN5 structure, as listed in Alexandria via LeMat-Bulk.

Cell and atoms, written as CIF:
```
data_Pa2CuSnN5
_space_group_name_H-M_alt 'C m c 21'
_space_group_IT_number 36
_cell_length_a 3.3870
_cell_length_b 13.4098
_cell_length_c 10.2007
_cell_angle_alpha 90.00
_cell_angle_beta 90.00
_cell_angle_gamma 90.00
loop_
_space_group_symop_operation_xyz
'x,y,z'
'-x,-y,z+1/2'
'-x,y,z'
'x,-y,z+1/2'
'x+1/2,y+1/2,z'
'-x+1/2,-y+1/2,z+1/2'
'-x+1/2,y+1/2,z'
'x+1/2,-y+1/2,z+1/2'
loop_
_atom_site_label
_atom_site_type_symbol
_atom_site_fract_x
_atom_site_fract_y
_atom_site_fract_z
Pa1 Pa 0.0000 0.1091 0.0000
Pa2 Pa 0.0000 0.1297 0.6057
Cu1 Cu 0.0000 0.4962 0.2979
Sn1 Sn 0.0000 0.1919 0.3137
N1 N 0.0000 0.0414 0.3934
N2 N 0.0000 0.2948 0.9926
N3 N 0.0000 0.3021 0.6752
N4 N 0.0000 0.3505 0.3536
N5 N 0.0000 0.4920 0.1046
```

First-principles (PBE-GGA) data for a geometry-optimized PaCuSnN structure, as listed in Alexandria via LeMat-Bulk.

Cell and atoms, written as CIF:
```
data_PaCuSnN
_space_group_name_H-M_alt 'P 4/n m m'
_space_group_IT_number 129
_cell_length_a 4.0468
_cell_length_b 4.0468
_cell_length_c 8.8150
_cell_angle_alpha 90.00
_cell_angle_beta 90.00
_cell_angle_gamma 90.00
loop_
_space_group_symop_operation_xyz
'x,y,z'
'-x,-y,-z'
'-y+1/2,x,z'
'y+1/2,-x,-z'
'-x+1/2,-y+1/2,z'
'x+1/2,y+1/2,-z'
'y,-x+1/2,z'
'-y,x+1/2,-z'
'x+1/2,-y,-z'
'-x+1/2,y,z'
'-y,-x,-z'
'y,x,z'
'-x,y+1/2,-z'
'x,-y+1/2,z'
'y+1/2,x+1/2,-z'
'-y+1/2,-x+1/2,z'
loop_
_atom_site_label
_atom_site_type_symbol
_atom_site_fract_x
_atom_site_fract_y
_atom_site_fract_z
Pa1 Pa 0.2500 0.2500 0.1261
Cu1 Cu 0.2500 0.7500 0.5000
Sn1 Sn 0.2500 0.2500 0.6851
N1 N 0.2500 0.7500 0.0000
```

First-principles (PBE-GGA) data for a geometry-optimized SrPa2CuN5 structure, as listed in Alexandria via LeMat-Bulk.

Cell and atoms, written as CIF:
```
data_SrPa2CuN5
_space_group_name_H-M_alt 'I 4/m c m'
_space_group_IT_number 140
_space_group_name_Hall '-I 4 2c'
_cell_length_a 6.6149
_cell_length_b 6.6149
_cell_length_c 11.3741
_cell_angle_alpha 90.00
_cell_angle_beta 90.00
_cell_angle_gamma 90.00
loop_
_atom_site_label
_atom_site_type_symbol
_atom_site_fract_x
_atom_site_fract_y
_atom_site_fract_z
Sr1 Sr 0.0000 0.0000 0.2500
Pa1 Pa 0.1745 0.3255 0.0000
Cu1 Cu 0.0000 0.5000 0.2500
N1 N 0.0000 0.0000 0.0000
N2 N 0.1441 0.3559 0.3759
```

For each record above, in turn, the calculated total energy values are -8.25 -7.30 -8.32 eV per atom.
For each record above, in turn, the calculated formation energy (no corrections) values are -5.5 -3.3 -8.5 eV/f.u..